The following is a DFT calculation (PBE-GGA) of a geometry-optimized GdTmHgGe structure.

Unit cell a=7.2849 b=7.2849 c=7.2849 alpha=90.00 beta=90.00 gamma=90.00
With the nearest neighbours (Å) after each atom.
Space group F-43m (No. 216)
Asymmetric unit:
Gd: 0.0000 0.0000 0.0000 x4  4 Ge 3.15, 4 Hg 3.15
Tm: 0.0000 0.0000 0.5000 x4  4 Ge 3.15, 4 Hg 3.15
Hg: 0.2500 0.2500 0.2500 x4  4 Gd 3.15, 4 Tm 3.15
Ge: 0.2500 0.2500 0.7500 x4  4 Gd 3.15, 4 Tm 3.15

Values from the calculation:
- formation energy (eV per atom) = -0.550
- E (eV per atom) = -6.42